# 1
The following is a DFT calculation (SCAN) of a crystal of SrMgCoF2 relaxed with PBEsol.

It has space group P4/mmm (No. 123), with a = 4.007 Å, b = 4.007 Å, c = 5.329 Å, α = 90.00°, β = 90.00° and γ = 90.00°. The distinct sites, in fractional coordinates, are Sr at (0.000, 0.000, 0.000), Mg at (0.500, 0.500, 0.500), Co at (0.500, 0.500, 0.000) and F at (0.000, 0.500, 0.500).

Its formation energy without anion corrections is -1.50 eV/atom.

***

# 2
The following is a DFT calculation (SCAN) of a crystal of Ga3AgRh relaxed with PBEsol.

It has space group Pm-3m (No. 221), with a = 4.695 Å, b = 4.695 Å, c = 4.695 Å, α = 90.00°, β = 90.00° and γ = 90.00°. The distinct sites, in fractional coordinates, are Ga at (0.000, 0.000, 0.500), Ag at (0.000, 0.000, 0.000) and Rh at (0.500, 0.500, 0.500).

The value obtained for the formation energy is 0.9002 eV/atom.

***

# 3
The following is a DFT calculation (SCAN) of a crystal of ErMg16Al12 relaxed with PBEsol.

It has space group I-43m (No. 217), with a = 10.462 Å, b = 10.462 Å, c = 10.462 Å, α = 90.00°, β = 90.00° and γ = 90.00°. The distinct sites, in fractional coordinates, are Er at (0.000, 0.000, 0.000), Mg at (0.039, 0.358, 0.358), Mg at (0.178, 0.178, 0.822) and Al at (0.090, 0.090, 0.277).

The value obtained for the formation energy is -0.0743 eV/atom. The value obtained for the offset from the most stable computed form is 0 kJ/mol of formula units.

***

# 4
The following is a DFT calculation (SCAN) of a crystal of K2HfMgCl relaxed with PBEsol.

It has space group P4/mmm (No. 123), with a = 7.061 Å, b = 7.061 Å, c = 4.770 Å, α = 90.00°, β = 90.00° and γ = 90.00°. The distinct sites, in fractional coordinates, are K at (0.000, 0.500, 0.000), Hf at (0.000, 0.000, 0.000), Mg at (0.500, 0.500, 0.500) and Cl at (0.000, 0.000, 0.500).

Its formation energy without anion corrections is 0.42 eV/atom.

***

# 5
The following is a DFT calculation (SCAN) of a crystal of Tc3IrN relaxed with PBEsol.

It has space group Pm-3m (No. 221), with a = 4.639 Å, b = 4.639 Å, c = 4.639 Å, α = 90.00°, β = 90.00° and γ = 90.00°. The distinct sites, in fractional coordinates, are Tc at (0.000, 0.000, 0.500), Ir at (0.000, 0.000, 0.000) and N at (0.500, 0.500, 0.500).

Its formation energy without anion corrections is 2.74 eV/atom.

***

# 6
The following is a DFT calculation (SCAN) of a crystal of AlPS2Br relaxed with PBEsol.

It has space group P4/mmm (No. 123), with a = 4.410 Å, b = 4.410 Å, c = 5.147 Å, α = 90.00°, β = 90.00° and γ = 90.00°. The distinct sites, in fractional coordinates, are Al at (0.000, 0.000, 0.000), P at (0.000, 0.000, 0.500), S at (0.000, 0.500, 0.000) and Br at (0.500, 0.500, 0.500).

Its formation energy without anion corrections is 0.34 eV/atom.

***

# 7
The following is a DFT calculation (SCAN) of a crystal of CaLa2Tc relaxed with PBEsol.

It has space group Cmmm (No. 65), with a = 4.458 Å, b = 5.472 Å, c = 10.050 Å, α = 90.00°, β = 90.00° and γ = 90.00°. The distinct sites, in fractional coordinates, are Ca at (0.000, 0.000, 0.000), La at (0.000, 0.500, 0.328) and Tc at (0.000, 0.000, 0.500).

The value obtained for the formation energy is 0.0637 eV/atom. The value obtained for the offset from the most stable computed form is 0 kJ/mol of formula units.

***

# 8
The following is a DFT calculation (SCAN) of a crystal of Ga2Sn2Bi relaxed with PBEsol.

It has space group P4/mbm (No. 127), with a = 8.472 Å, b = 8.472 Å, c = 3.356 Å, α = 90.00°, β = 90.00° and γ = 90.00°. The distinct sites, in fractional coordinates, are Ga at (0.151, 0.349, 0.000), Sn at (0.145, 0.645, 0.500) and Bi at (0.000, 0.000, 0.500).

The value obtained for the formation energy is 0.1697 eV/atom. The value obtained for the offset from the most stable computed form is 9 kJ/mol of formula units.

***

# 9
The following is a DFT calculation (SCAN) of a crystal of BPIO2 relaxed with PBEsol.

It has space group P4/mmm (No. 123), with a = 3.624 Å, b = 3.624 Å, c = 4.614 Å, α = 90.00°, β = 90.00° and γ = 90.00°. The distinct sites, in fractional coordinates, are B at (0.000, 0.000, 0.000), P at (0.500, 0.500, 0.500), I at (0.000, 0.000, 0.500) and O at (0.000, 0.500, 0.000).

The value obtained for the offset from the most stable computed form is 253 kJ/mol of formula units. Its formation energy without anion corrections is 0.74 eV/atom.

***

# 10
The following is a DFT calculation (SCAN) of a crystal of Sb2AsPd2 relaxed with PBEsol.

It has space group P4/mbm (No. 127), with a = 8.036 Å, b = 8.036 Å, c = 3.052 Å, α = 90.00°, β = 90.00° and γ = 90.00°. The distinct sites, in fractional coordinates, are Sb at (0.173, 0.327, 0.000), As at (0.000, 0.000, 0.000) and Pd at (0.120, 0.620, 0.500).

The value obtained for the offset from the most stable computed form is 32 kJ/mol of formula units. Its formation energy without anion corrections is -0.01 eV/atom.

***

# 11
The following is a DFT calculation (SCAN) of a crystal of BaIn2Br relaxed with PBEsol.

It has space group I-4m2 (No. 119), with a = 5.326 Å, b = 5.326 Å, c = 8.397 Å, α = 90.00°, β = 90.00° and γ = 90.00°. The distinct sites, in fractional coordinates, are Ba at (0.000, 0.000, 0.000), In at (0.000, 0.000, 0.500), In at (0.000, 0.500, 0.250) and Br at (0.000, 0.500, 0.750).

The value obtained for the offset from the most stable computed form is 35 kJ/mol of formula units. Its formation energy without anion corrections is -0.70 eV/atom.

***

# 12
The following is a DFT calculation (SCAN) of a crystal of Li2Cd2Bi relaxed with PBEsol.

It has space group P4/mbm (No. 127), with a = 8.070 Å, b = 8.070 Å, c = 3.237 Å, α = 90.00°, β = 90.00° and γ = 90.00°. The distinct sites, in fractional coordinates, are Li at (0.169, 0.331, 0.000), Cd at (0.127, 0.627, 0.500) and Bi at (0.000, 0.000, 0.500).

The value obtained for the formation energy is -0.2269 eV/atom.

***

Values of total magnetic moment, in order: 1.06; 0.62; 0.00; 2.60; 1.07; 0.00; 0.24; 0.00; 0.00; 0.00; 0.00; 0.00, all in μB per cell.
Values of density, in order: 4.054; 6.739; 2.552; 2.209; 8.321; 3.351; 5.633; 8.078; 5.499; 8.951; 6.229; 7.052, all in g cm⁻³.